(1)
GaSeN2O | PBE-GGA | optimized geometry

The spin magnetization is 3.01 μB/f.u. The total energy comes out at -20.188 eV per formula unit. For the density, the calculation gives 3.97 g cm⁻³. For the formation energy (no corrections), the calculation gives 1.59 eV/atom. The crystal system is tetragonal.

The space group is P4/mmm (No. 123) and the conventional cell measures 3.652, 3.652 and 6.037 Å, with angles of 90.00, 90.00 and 90.00 degrees. The asymmetric unit holds Ga at (0.000, 0.000, 0.000), Se at (0.000, 0.000, 0.500), N at (0.000, 0.500, 0.000) and O at (0.500, 0.500, 0.500).

=====

(2)
Mn2Co | PBE-GGA | optimized geometry

The spin magnetization is 0.87 μB/f.u. The total energy comes out at -25.381 eV per formula unit. For the density, the calculation gives 8.31 g cm⁻³. For the formation enthalpy at 0 K, the calculation gives 6 kJ/mol of formula units. The crystal system is orthorhombic.

The space group is Pnma (No. 62) and the conventional cell measures 5.007, 3.527 and 7.638 Å, with angles of 90.00, 90.00 and 90.00 degrees. The asymmetric unit holds Mn at (0.117, 0.250, 0.248), Mn at (0.137, 0.250, 0.591) and Co at (0.129, 0.250, 0.920).

=====

(3)
Mn2ReRu | PBE-GGA | optimized geometry

The spin magnetization is 0.00 μB/f.u. The total energy comes out at -39.511 eV per formula unit. For the density, the calculation gives 12.91 g cm⁻³. For the formation enthalpy at 0 K, the calculation gives 53 kJ/mol of formula units. The crystal system is tetragonal.

The space group is P4mm (No. 99) and the conventional cell measures 2.915, 2.915 and 6.012 Å, with angles of 90.00, 90.00 and 90.00 degrees. The asymmetric unit holds Mn at (0.000, 0.000, 0.000), Mn at (0.500, 0.500, 0.152), Re at (0.000, 0.000, 0.435) and Ru at (0.500, 0.500, 0.713).

=====

(4)
BaSrI4 | PBE-GGA | optimized geometry

The spin magnetization is 0.00 μB/f.u. The total energy comes out at -20.091 eV per formula unit. For the density, the calculation gives 4.38 g cm⁻³. For the formation energy (no corrections), the calculation gives -1.71 eV/atom. The crystal system is tetragonal.

The space group is I4_1/a (No. 88, origin choice 2) and the conventional cell measures 8.227, 8.227 and 16.421 Å, with angles of 90.00, 90.00 and 90.00 degrees. The asymmetric unit holds Ba at (0.000, 0.250, 0.125), Sr at (0.000, 0.250, 0.625) and I at (0.241, 0.005, 0.503).

=====

(5)
Ca3SmBi2S | PBE-GGA | optimized geometry

The spin magnetization is 0.00 μB/f.u. The total energy comes out at -30.206 eV per formula unit. For the density, the calculation gives 5.24 g cm⁻³. For the formation energy (no corrections), the calculation gives -1.08 eV/atom. The crystal system is orthorhombic.

The space group is Immm (No. 71) and the conventional cell measures 5.193, 5.312 and 16.558 Å, with angles of 90.00, 90.00 and 90.00 degrees. The asymmetric unit holds Ca at (0.000, 0.000, 0.000), Ca at (0.000, 0.500, 0.328), Sm at (0.000, 0.000, 0.500), Bi at (0.000, 0.500, 0.135) and S at (0.000, 0.500, 0.500).

=====

(6)
PmPr2Zn5 | PBE-GGA | optimized geometry

The spin magnetization is 0.00 μB/f.u. The total energy comes out at -22.919 eV per formula unit. For the density, the calculation gives 6.96 g cm⁻³. For the formation enthalpy at 0 K, the calculation gives -216 kJ/mol of formula units. The crystal system is tetragonal.

The space group is I4/mmm (No. 139) and the conventional cell measures 4.942, 4.942 and 14.725 Å, with angles of 90.00, 90.00 and 90.00 degrees. The asymmetric unit holds Pm at (0.000, 0.000, 0.000), Pr at (0.000, 0.000, 0.270), Zn at (0.000, 0.000, 0.500) and Zn at (0.000, 0.500, 0.111).

=====

(7)
SrP2Ru | PBE-GGA | optimized geometry

The spin magnetization is 0.00 μB/f.u. The total energy comes out at -19.858 eV per formula unit. For the density, the calculation gives 5.76 g cm⁻³. For the formation enthalpy at 0 K, the calculation gives 185 kJ/mol of formula units. As for the relative energy among the computed polymorphs: 112.93 kJ/mol of atoms. The crystal system is cubic.

The space group is F-43m (No. 216) and the conventional cell measures 6.612, 6.612 and 6.612 Å, with angles of 90.00, 90.00 and 90.00 degrees. The asymmetric unit holds Sr at (0.000, 0.000, 0.000), P at (0.000, 0.000, 0.500), P at (0.250, 0.250, 0.250) and Ru at (0.250, 0.250, 0.750).

=====

(8)
Zr2ZnFe | PBE-GGA | optimized geometry

The spin magnetization is 1.58 μB/f.u. The total energy comes out at -26.204 eV per formula unit. For the density, the calculation gives 6.72 g cm⁻³. For the formation enthalpy at 0 K, the calculation gives 61 kJ/mol of formula units. The crystal system is trigonal.

The space group is R3m (No. 160, hexagonal axes) and the conventional cell measures 3.1694, 3.1694 and 25.8701 Å, with angles of 90.00, 90.00 and 120.00 degrees. The asymmetric unit holds Zr at (0.0000, 0.0000, 0.0000), Zr at (0.0000, 0.0000, 0.2318), Zn at (0.0000, 0.0000, 0.7558) and Fe at (0.0000, 0.0000, 0.4911).